(1)
ScCd2Pt | PBE | optimized geometry

POSCAR file:
```
ScCd2Pt
1.0
6.0204 -0.0167 0.0462
-3.3541 4.9996 0.0462
0.7807 1.4590 2.7034
Pt Cd Sc
1 2 1
direct
0.5000 0.0000 0.5000
0.5000 0.5000 0.0000
0.0000 0.0000 0.0000
0.0000 0.5000 0.5000
```

**Space group**: C2/m
**Energy of formation from the pure elements**: -0.32 eV per atom

(2)
KCd3Pt | PBE | optimized geometry

POSCAR file:
```
KCd3Pt
1.0
9.3886 -3.8262 -0.9914
4.2783 -5.0661 7.7330
1.3523 -10.0762 -0.6399
K Cd Pt
4 12 4
direct
0.1250 0.6250 0.1250
0.6250 0.1250 0.1250
0.1250 0.1250 0.6250
0.1250 0.1250 0.1250
0.9267 0.5733 0.5733
0.3233 0.6767 0.3233
0.3233 0.3233 0.6767
0.5733 0.5733 0.9267
0.6767 0.3233 0.3233
0.6767 0.3233 0.6767
0.5733 0.9267 0.5733
0.9267 0.5733 0.9267
0.3233 0.6767 0.6767
0.9267 0.9267 0.5733
0.6767 0.6767 0.3233
0.5733 0.9267 0.9267
0.6250 0.6250 0.6250
0.1250 0.6250 0.6250
0.6250 0.6250 0.1250
0.6250 0.1250 0.6250
```

**Space group**: Fd-3m
**Energy of formation from the pure elements**: -0.08 eV per atom
**Relative energy among the computed polymorphs**: 4.02 kcal/mol of atoms

(3)
Sr4Ni2H | PBE | optimized geometry

POSCAR file:
```
Sr4Ni2H
1.0
-1.0920 1.8395 4.4432
-3.6417 -3.2920 0.4679
7.4298 -4.3962 0.9095
Ni Sr H
2 4 1
direct
0.3776 0.3776 0.7551
0.6224 0.6224 0.2449
0.5000 0.0000 0.0000
0.0000 0.5000 0.0000
0.1882 0.1882 0.3763
0.8118 0.8118 0.6237
0.0000 0.0000 0.0000
```

**Space group**: I4/mmm
**Total DFT energy (no corrections)**: -3.07 eV/atom

(4)
RbGaF3 | PBE | optimized geometry

POSCAR file:
```
RbGaF3
1.0
7.3003 -1.6860 -2.9384
5.1860 -4.3467 4.3569
1.8053 -7.5222 -2.2202
F Rb Ga
12 4 4
direct
0.4444 0.4444 0.0556
0.8056 0.1944 0.1944
0.1944 0.8056 0.8056
0.0556 0.0556 0.4444
0.0556 0.4444 0.4444
0.0556 0.4444 0.0556
0.8056 0.8056 0.1944
0.4444 0.0556 0.0556
0.8056 0.1944 0.8056
0.1944 0.1944 0.8056
0.1944 0.8056 0.1944
0.4444 0.0556 0.4444
0.6250 0.6250 0.1250
0.6250 0.6250 0.6250
0.1250 0.6250 0.6250
0.6250 0.1250 0.6250
0.1250 0.6250 0.1250
0.1250 0.1250 0.1250
0.1250 0.1250 0.6250
0.6250 0.1250 0.1250
```

**Formation energy from raw total energies**: -2272 meV/atom
**Space group**: Fd-3m

(5)
LiCeDy2 | PBE | optimized geometry

POSCAR file:
```
LiCeDy2
1.0
3.4237 0.0000 0.0000
1.7118 2.9650 0.0000
1.7118 0.9883 11.2810
Ce Li Dy
1 1 2
direct
0.5001 0.5001 0.4996
0.6665 0.6665 0.0006
0.2521 0.2521 0.2437
0.0813 0.0813 0.7561
```

**Space group**: R3m
**Energy of formation from the pure elements**: 0.13 eV per atom
**Relative energy among the computed polymorphs**: 0.66 kcal/mol of atoms

(6)
TaAlCr2 | PBE | optimized geometry

POSCAR file:
```
TaAlCr2
1.0
2.6357 0.0000 0.0000
0.0000 2.6357 0.0000
0.0000 0.0000 8.2601
Ta Al Cr
1 1 2
direct
0.5000 0.5000 0.2500
0.5000 0.5000 0.7500
0.0000 0.0000 0.9816
0.0000 0.0000 0.5184
```

**Space group**: P4/mmm
**Energy of formation from the pure elements**: 0.21 eV per atom

(7)
LaRh2Br2 | PBE | optimized geometry

POSCAR file:
```
LaRh2Br2
1.0
-1.6396 -3.2678 -3.0307
0.1543 -3.2690 3.4412
-5.2577 -2.1638 1.4569
Rh Br La
2 2 1
direct
0.6306 0.6306 0.7387
0.3694 0.3694 0.2613
0.7500 0.2500 0.5000
0.2500 0.7500 0.5000
0.0000 0.0000 0.0000
```

**Formation energy from raw total energies**: -208 meV/atom
**Space group**: I4/mmm
**Relative energy among the computed polymorphs**: 6.13 kcal/mol of atoms

(8)
MgTlPI2 | PBE | optimized geometry

POSCAR file:
```
MgTlPI2
1.0
-0.6181 0.3308 -5.9553
-4.1155 -2.8854 0.2669
-3.3964 4.9022 0.6249
I P Tl Mg
2 1 1 1
direct
0.0000 0.0000 0.5000
0.5000 0.0000 0.0000
0.0000 0.5000 0.0000
0.5000 0.5000 0.5000
0.0000 0.0000 0.0000
```

**Formation energy from raw total energies**: -180 meV/atom
**Space group**: P4/mmm

(9)
BaMgAg | PBE | optimized geometry

POSCAR file:
```
BaMgAg
1.0
4.7714 -0.2304 -0.0461
0.2299 4.7687 -0.0466
0.0891 0.0807 8.4916
Ba Ag Mg
2 2 2
direct
0.8137 0.8663 0.5840
0.3138 0.3664 0.2552
0.3136 0.3665 0.7230
0.8136 0.8665 0.1163
0.8134 0.3666 0.9195
0.3134 0.8665 0.9195
```

**Space group**: P4/nmm
**Energy of formation from the pure elements**: -0.21 eV per atom

(10)
Pr2Dy15Ho2 | PBE | optimized geometry

POSCAR file:
```
Pr2Dy15Ho2
1.0
-0.4741 8.5461 1.6463
-3.7420 -0.1395 7.8708
7.0168 0.9961 5.0738
Dy Pr Ho
15 2 2
direct
0.3028 0.6972 0.0000
0.6290 0.1541 0.6290
0.3710 0.3710 0.8459
0.5000 0.0000 0.0000
0.0000 0.0000 0.5000
0.0000 0.3028 0.6972
0.1541 0.6290 0.6290
0.6290 0.6290 0.1541
0.6972 0.0000 0.3028
0.3710 0.8459 0.3710
0.8459 0.3710 0.3710
0.0000 0.5000 0.0000
0.3028 0.0000 0.6972
0.6972 0.3028 0.0000
0.0000 0.6972 0.3028
0.1174 0.1174 0.1174
0.8826 0.8826 0.8826
0.6714 0.6714 0.6714
0.3286 0.3286 0.3286
```

**Space group**: R-3m
**Energy of formation from the pure elements**: 0.30 eV per atom

(11)
CaTlGaPb | PBE | optimized geometry

POSCAR file:
```
CaTlGaPb
1.0
5.4263 0.0000 0.0000
2.7132 4.6993 0.0000
2.7132 1.5664 4.4306
Ga Tl Pb Ca
1 1 1 1
direct
0.2500 0.2500 0.2500
0.7500 0.7500 0.7500
0.0000 0.0000 0.0000
0.5000 0.5000 0.5000
```

**Space group**: F-43m
**Energy of formation from the pure elements**: -0.21 eV per atom

(12)
Mg2BiBr | PBE | optimized geometry

POSCAR file:
```
Mg2BiBr
1.0
4.6077 -0.0078 0.0006
0.7201 7.3991 -0.0177
0.2095 0.4579 7.4639
Mg Bi Br
4 2 2
direct
0.1740 0.7190 0.4819
0.7506 0.6084 0.8637
0.8260 0.2810 0.5181
0.2494 0.3916 0.1363
0.2950 0.3965 0.7443
0.7050 0.6035 0.2557
0.1823 0.0739 0.2984
0.8177 0.9261 0.7016
```

**Formation energy from raw total energies**: -599 meV/atom
**Space group**: P-1
**Relative energy among the computed polymorphs**: 0.90 kcal/mol of atoms

(13)
La3AsPt | PBE | optimized geometry

POSCAR file:
```
La3AsPt
1.0
5.6104 0.0000 0.0000
0.0000 5.6104 0.0000
0.0000 0.0000 5.6104
As La Pt
1 3 1
direct
0.5000 0.5000 0.5000
0.0000 0.0000 0.5000
0.0000 0.5000 0.0000
0.5000 0.0000 0.0000
0.0000 0.0000 0.0000
```

**Space group**: Pm-3m
**Energy of formation from the pure elements**: -0.54 eV per atom
**Relative energy among the computed polymorphs**: 0.00 kcal/mol of atoms

(14)
Sr2TeF2 | PBE | optimized geometry

POSCAR file:
```
Sr2TeF2
1.0
-1.4340 -2.8179 2.7418
3.1798 -2.5476 -0.9553
4.5637 0.1199 5.7042
F Sr Te
2 2 1
direct
0.2500 0.7500 0.5000
0.7500 0.2500 0.5000
0.3541 0.3541 0.2918
0.6459 0.6459 0.7082
0.0000 0.0000 0.0000
```

**Formation energy from raw total energies**: -3044 meV/atom
**Space group**: I4/mmm
**Relative energy among the computed polymorphs**: 0.00 kcal/mol of atoms

(15)
CsTb2Cu3Se5 | PBE | optimized geometry

POSCAR file:
```
CsTb2Cu3Se5
1.0
7.6556 -0.0025 0.0000
-6.5271 4.0006 0.0000
0.0000 0.0000 17.5187
Cs Se Tb Cu
2 10 4 6
direct
0.9394 0.0606 0.2500
0.0606 0.9394 0.7500
0.1673 0.8327 0.9298
0.8327 0.1673 0.4298
0.1673 0.8327 0.5702
0.5601 0.4399 0.1116
0.7623 0.2377 0.7500
0.5601 0.4399 0.3884
0.4399 0.5601 0.8884
0.2377 0.7623 0.2500
0.4399 0.5601 0.6116
0.8327 0.1673 0.0702
0.1921 0.8079 0.4090
0.8079 0.1921 0.5910
0.8079 0.1921 0.9090
0.1921 0.8079 0.0910
0.3407 0.6593 0.7500
0.5850 0.4150 0.5296
0.5850 0.4150 0.9704
0.6593 0.3407 0.2500
0.4150 0.5850 0.0296
0.4150 0.5850 0.4704
```

**Formation energy from raw total energies**: -1125 meV/atom
**Space group**: Cmcm

(16)
LaTb2Pm4Th | PBE | optimized geometry

POSCAR file:
```
LaTb2Pm4Th
1.0
-1.5982 1.7401 -2.7614
-5.0918 0.8807 3.5020
2.7801 10.6368 5.0939
La Th Pm Tb
1 1 4 2
direct
0.5000 0.5000 0.0000
0.0000 0.5000 0.5000
0.0000 0.7497 0.7462
0.5000 0.7426 0.2552
0.5000 0.2574 0.7448
0.0000 0.2503 0.2538
0.0000 0.0000 0.0000
0.5000 0.0000 0.5000
```

**Space group**: P2/m
**Energy of formation from the pure elements**: 0.03 eV per atom

(17)
AlCo2P | PBE | optimized geometry

POSCAR file:
```
AlCo2P
1.0
-1.5411 -4.3832 6.0212
-3.0748 -5.6427 4.0680
-0.3687 -6.2492 4.3191
Co Al P
2 1 1
direct
0.2444 0.2444 0.2444
0.9991 0.9991 0.9991
0.7480 0.7480 0.7480
0.5084 0.5084 0.5084
```

**Space group**: R3m
**Energy of formation from the pure elements**: -0.02 eV per atom
**Relative energy among the computed polymorphs**: 8.80 kcal/mol of atoms

(18)
Sr3La3Au4 | PBE | optimized geometry

POSCAR file:
```
Sr3La3Au4
1.0
-3.7522 -0.5531 1.7434
-3.4147 -1.4421 -7.8066
1.7190 -8.4061 1.0328
Au Sr La
4 3 3
direct
0.0000 0.8513 0.8638
0.0000 0.6370 0.3630
0.0000 0.3727 0.6273
0.0000 0.1362 0.1487
0.0000 0.9974 0.5002
0.0000 0.4998 0.0026
0.5000 0.1576 0.8424
0.5000 0.8504 0.1496
0.5000 0.6527 0.6552
0.5000 0.3448 0.3473
```

**Space group**: Amm2
**Energy of formation from the pure elements**: -0.63 eV per atom

(19)
HgCO | PBE | optimized geometry

POSCAR file:
```
HgCO
1.0
5.6715 0.0000 0.0000
0.0000 5.7074 -1.4077
-2.8358 -1.7343 7.0205
O C Hg
2 2 2
direct
0.6689 0.9584 0.3379
0.3311 0.0416 0.6621
0.6744 0.1592 0.3489
0.3256 0.8408 0.6511
0.0650 0.3250 0.1299
0.9350 0.6750 0.8701
```

**Formation energy from raw total energies**: -162 meV/atom
**Space group**: C2/m

(20)
YbCe3 | PBE | optimized geometry

POSCAR file:
```
YbCe3
1.0
1.4616 2.3699 6.2006
-5.9699 1.4903 -2.8879
-2.3047 -4.6991 2.3393
Yb Ce
2 6
direct
0.3333 0.6667 0.7500
0.6667 0.3333 0.2500
0.1446 0.8554 0.2500
0.1446 0.2893 0.2500
0.2893 0.1446 0.7500
0.7107 0.8554 0.2500
0.8554 0.1446 0.7500
0.8554 0.7107 0.7500
```

**Space group**: P6_3/mmc
**Energy of formation from the pure elements**: 0.18 eV per atom
**Relative energy among the computed polymorphs**: 0.86 kcal/mol of atoms

(21)
Rb2AlF6 | PBE | optimized geometry

POSCAR file:
```
Rb2AlF6
1.0
6.0513 0.0000 0.0000
-3.0257 5.2406 0.0000
0.0000 0.0000 9.8377
F Rb Al
12 4 2
direct
0.4737 0.5263 0.1488
0.1884 0.8116 0.3601
0.3769 0.1884 0.8601
0.8116 0.1884 0.8601
0.0527 0.5263 0.1488
0.6231 0.8116 0.3601
0.8116 0.6231 0.8601
0.9473 0.4737 0.6488
0.5263 0.4737 0.6488
0.4737 0.9473 0.1488
0.5263 0.0527 0.6488
0.1884 0.3769 0.3601
0.3333 0.6667 0.8722
0.6667 0.3333 0.3722
0.0000 0.0000 0.5919
0.0000 0.0000 0.0919
0.3333 0.6667 0.2590
0.6667 0.3333 0.7590
```

**Formation energy from raw total energies**: -2865 meV/atom
**Space group**: P6_3mc

(22)
MnAgAu | PBE | optimized geometry

POSCAR file:
```
MnAgAu
1.0
4.5639 0.0000 0.0000
-2.2820 3.9525 0.0000
0.0000 0.0000 2.8290
Ag Au Mn
1 1 1
direct
0.0000 0.0000 0.9793
0.6667 0.3333 0.3656
0.3333 0.6667 0.6550
```

**Space group**: P3m1
**Energy of formation from the pure elements**: 0.12 eV per atom
**Relative energy among the computed polymorphs**: 2.39 kcal/mol of atoms

(23)
CaZnW3 | PBE | optimized geometry

POSCAR file:
```
CaZnW3
1.0
4.6992 0.0000 0.0000
0.0000 4.6992 0.0000
0.0000 0.0000 4.6992
W Ca Zn
3 1 1
direct
0.0000 0.0000 0.5000
0.5000 0.0000 0.0000
0.0000 0.5000 0.0000
0.5000 0.5000 0.5000
0.0000 0.0000 0.0000
```

**Space group**: Pm-3m
**Energy of formation from the pure elements**: 1.84 eV per atom
**Relative energy among the computed polymorphs**: 0.00 kcal/mol of atoms

It is found that the M_tot values, taken in the order of the records, are 0.0 0.0 0.0 0.0 0.6 0.0 0.0 2.0 0.0 0.0 0.0 0.0 0.0 0.0 0.0 0.0 2.1 0.0 0.0 0.0 1.0 4.1 0.0 μB per formula unit.